[1]
A geometry-optimized Tb2Pm4Pb3O2 structure, computed with PBE.

```
Tb2Pm4Pb3O2
1.0
-2.414 -2.814 -3.042
4.144 -1.699 -1.716
-1.057 -7.119 11.203
Pm O Pb Tb
4 2 3 2
Cartesian
2.040 -2.426 0.626
1.913 -8.649 6.482
-1.239 -2.984 -0.037
-1.366 -9.206 5.819
-0.151 -7.416 6.980
0.825 -4.216 -0.535
-0.069 -3.396 3.196
0.000 0.000 0.000
0.743 -8.236 3.249
0.791 -5.879 1.030
-0.117 -5.753 5.414
```

symmetry	I4/mmm (139)
DOS at the Fermi energy	4.1	states/eV/f.u.
ρ	8.70	g/cm3
formation energy without anion corrections	-1366	meV per atom
magnetic moment	0.0000	μB per atom


[2]
A geometry-optimized LiPRhS2 structure, computed with PBE.

```
LiPRhS2
1.0
4.922 0.000 0.000
0.000 4.922 0.000
0.000 0.000 4.343
S Li P Rh
2 1 1 1
Cartesian
2.461 0.000 0.000
0.000 2.461 0.000
2.461 2.461 2.171
0.000 0.000 2.171
0.000 0.000 0.000
```

symmetry	P4/mmm (123)
DOS at the Fermi energy	5.3	states/eV/f.u.
ρ	3.24	g/cm3
formation energy without anion corrections	152	meV per atom
magnetic moment	0.1081	μB per atom
energy above the lowest structure with this stoichiometry	0	meV/atom


[3]
A geometry-optimized ErTm2Tc structure, computed with PBE.

```
ErTm2Tc
1.0
-0.623 0.145 3.365
-2.280 -2.537 -0.313
6.271 -5.811 1.410
Tm Er Tc
2 1 1
Cartesian
5.102 -4.727 1.147
1.170 -1.084 0.263
1.684 -4.102 2.231
-1.451 -1.196 1.526
```

symmetry	P4/mmm (123)
DOS at the Fermi energy	5.8	states/eV/f.u.
ρ	9.85	g/cm3
magnetic moment	0.0003	μB per atom
formation enthalpy at 0 K	-0.018	eV per atom
energy above the lowest structure with this stoichiometry	128	meV/atom


[4]
A geometry-optimized CeErHgIr structure, computed with PBE.

```
CeErHgIr
1.0
-4.769 1.683 0.550
-3.882 -2.698 -1.877
-3.194 -2.393 3.154
Ce Hg Ir Er
1 1 1 1
Cartesian
-2.961 -0.852 0.457
-5.922 -1.704 0.914
0.000 0.000 0.000
-8.884 -2.557 1.370
```

symmetry	F-43m (216)
DOS at the Fermi energy	6.3	states/eV/f.u.
ρ	12.49	g/cm3
magnetic moment	0.1959	μB per atom
formation enthalpy at 0 K	-0.512	eV per atom


Which of these has the lowest ρ?
LiPRhS2